Computed, not measured: a relaxed structure of Li2Zn3O4 at the PBE-GGA level of DFT.

Lattice parameters (Å, degrees): 5.342 5.342 7.534 123.53 123.53 32.89
Element x y z (fractional)
1 Li 0.139 0.139 0.375
2 Li 0.861 0.861 0.625
3 Zn 0.306 0.306 0.197
4 Zn 0.500 0.500 0.000
5 Zn 0.694 0.694 0.803
6 O 0.084 0.084 0.873
7 O 0.268 0.268 0.694
8 O 0.732 0.732 0.306
9 O 0.916 0.916 0.127

- Spin magnetization: 0.000 Bohr magnetons per cell
- Formation energy from raw total energies: -1.481 eV/atom